Model i:
The following is a DFT calculation (PBE) of a relaxed structure of TmTcSn.

Cell and atoms, written as CIF:
```
data_TmTcSn
_cell_length_a 4.6092
_cell_length_b 4.6092
_cell_length_c 3.5595
_cell_angle_alpha 90.00
_cell_angle_beta 90.00
_cell_angle_gamma 120.00
_symmetry_space_group_name_H-M 'P -6 m 2'
_symmetry_Int_Tables_number 187
_symmetry_space_group_name_Hall 'P -6 2'
loop_
_atom_site_label
_atom_site_type_symbol
_atom_site_fract_x
_atom_site_fract_y
_atom_site_fract_z
Tm1 Tm 0.0000 0.0000 0.0000
Tc1 Tc 0.6667 0.3333 0.5000
Sn1 Sn 0.3333 0.6667 0.5000
```

Model ii:
The following is a DFT calculation (PBE) of a relaxed structure of TmTcSn.

Cell and atoms, written as CIF:
```
data_TmTcSn
_cell_length_a 3.5127
_cell_length_b 3.5127
_cell_length_c 10.0330
_cell_angle_alpha 90.00
_cell_angle_beta 90.00
_cell_angle_gamma 90.00
_symmetry_space_group_name_H-M 'I 4 m m'
_symmetry_Int_Tables_number 107
_symmetry_space_group_name_Hall 'I 4 -2'
loop_
_atom_site_label
_atom_site_type_symbol
_atom_site_fract_x
_atom_site_fract_y
_atom_site_fract_z
Tm1 Tm 0.0000 0.0000 0.0000
Tc1 Tc 0.0000 0.0000 0.6679
Sn1 Sn 0.0000 0.0000 0.3012
```

Energy comparison, zero being the most stable, in meV/atom: model i 155; model ii 0.